Rb2FeAu2 after structural relaxation. Source: Alexandria via LeMat-Bulk, functional GGA-PBE.

Properties
Energy of formation from the pure elements   0.258 eV per atom
Crystal system   tetragonal
Distance to the lowest polymorph of the same formula   0.000 eV per atom
Energy   -3.13 eV per atom

Structure (CIF):
```
data_Rb2FeAu2
_chemical_formula_sum 'Rb4 Fe2 Au4'
_cell_length_a 7.042
_cell_length_b 7.042
_cell_length_c 5.703
_cell_angle_alpha 90.00
_cell_angle_beta 90.00
_cell_angle_gamma 90.00
_symmetry_space_group_name_H-M 'P 4/m b m'
_symmetry_Int_Tables_number 127
_symmetry_space_group_name_Hall '-P 4 2ab'
loop_
_atom_site_label
_atom_site_type_symbol
_atom_site_fract_x
_atom_site_fract_y
_atom_site_fract_z
Rb1 Rb 0.175 0.325 0.000
Fe1 Fe 0.000 0.000 0.500
Au1 Au 0.147 0.647 0.500
```

RbFeAu3 after structural relaxation. Source: Alexandria via LeMat-Bulk, functional GGA-PBE.

Properties
Energy of formation from the pure elements   0.212 eV per atom
Crystal system   cubic
Distance to the lowest polymorph of the same formula   0.000 eV per atom
Energy   -3.64 eV per atom

Structure (CIF):
```
data_RbFeAu3
_chemical_formula_sum 'Rb1 Fe1 Au3'
_cell_length_a 5.074
_cell_length_b 5.074
_cell_length_c 5.074
_cell_angle_alpha 90.00
_cell_angle_beta 90.00
_cell_angle_gamma 90.00
_symmetry_space_group_name_H-M 'P m -3 m'
_symmetry_Int_Tables_number 221
_symmetry_space_group_name_Hall '-P 4 2 3'
loop_
_atom_site_label
_atom_site_type_symbol
_atom_site_fract_x
_atom_site_fract_y
_atom_site_fract_z
Rb1 Rb 0.000 0.000 0.000
Fe1 Fe 0.500 0.500 0.500
Au1 Au 0.000 0.500 0.500
```

Rb2FeAu2 after structural relaxation. Source: Alexandria via LeMat-Bulk, functional GGA-PBE.

Properties
Energy of formation from the pure elements   0.751 eV per atom
Crystal system   tetragonal
Distance to the lowest polymorph of the same formula   0.493 eV per atom
Energy   -2.64 eV per atom

Structure (CIF):
```
data_Rb2FeAu2
_chemical_formula_sum 'Rb4 Fe2 Au4'
_cell_length_a 5.149
_cell_length_b 5.149
_cell_length_c 14.181
_cell_angle_alpha 90.00
_cell_angle_beta 90.00
_cell_angle_gamma 90.00
_symmetry_space_group_name_H-M 'I 4/m m m'
_symmetry_Int_Tables_number 139
_symmetry_space_group_name_Hall '-I 4 2'
loop_
_atom_site_label
_atom_site_type_symbol
_atom_site_fract_x
_atom_site_fract_y
_atom_site_fract_z
Rb1 Rb 0.000 0.500 0.250
Fe1 Fe 0.000 0.000 0.000
Au1 Au 0.000 0.000 0.404
```